Compound: HfPdI2
Source: Alexandria
Functional: PBE
Structure: relaxed

Formation energy (no corrections) ... 0.2802 eV/atom
Excess energy over the best structure of this formula in the dataset ... 0.569 eV/f.u.
Calculated density ... 7.05 g cm⁻³

abc: 6.7635 6.7635 7.3271
angles: 62.51 62.51 90.00
Last column: nearest neighbours and their distance in Å.
Positions (direct):
I 0.1405 0.6250 0.2500  2 Pd 2.70, 2 Hf 2.83
I 0.3750 0.3905 0.7500  2 Pd 2.70, 2 Hf 2.83
I 0.8750 0.8595 0.7500  2 Pd 2.70, 2 Hf 2.83
I 0.6095 0.1250 0.2500  2 Pd 2.70, 2 Hf 2.83
Hf 0.0000 0.0000 0.0000  4 I 2.83
Hf 0.7500 0.2500 0.5000  4 I 2.83
Pd 0.2500 0.7500 0.5000  4 I 2.70
Pd 0.5000 0.5000 0.0000  4 I 2.70

Compound: LiPIN2
Source: Alexandria
Functional: PBE
Structure: relaxed

Formation energy (no corrections) ... 1.8926 eV/atom
Excess energy over the best structure of this formula in the dataset ... 6.982 eV/f.u.
Calculated density ... 3.40 g cm⁻³

abc: 4.1349 4.1349 5.5112
angles: 90.00 90.00 90.00
Last column: nearest neighbours and their distance in Å.
Positions (direct):
P 0.5000 0.5000 0.5000  4 I 2.92
I 0.0000 0.0000 0.5000  2 Li 2.76, 4 P 2.92
Li 0.0000 0.0000 0.0000  4 N 2.07
N 0.5000 0.0000 0.0000  2 Li 2.07
N 0.0000 0.5000 0.0000  2 Li 2.07

Compound: ThCoSn
Source: Alexandria
Functional: PBE
Structure: relaxed

Calculated density ... 10.52 g cm⁻³
DFT formation energy ... -0.481 eV/atom

abc: 3.9162 7.5094 13.1875
angles: 90.00 90.00 90.00
Last column: nearest neighbours and their distance in Å.
Positions (direct):
Co 0.5000 0.9283 0.9039  2 Sn 2.74-2.86, 1 Co 2.75, 6 Th 2.87-3.06
Co 0.5000 0.9283 0.5961  2 Sn 2.74-2.86, 1 Co 2.75, 6 Th 2.87-3.06
Co 0.5000 0.0717 0.0961  2 Sn 2.74-2.86, 1 Co 2.75, 6 Th 2.87-3.06
Co 0.5000 0.0717 0.4039  2 Sn 2.74-2.86, 1 Co 2.75, 6 Th 2.87-3.06
Co 0.0000 0.4400 0.7500  6 Sn 2.68-2.69
Co 0.0000 0.5601 0.2500  6 Sn 2.68-2.69
Th 0.0000 0.2266 0.9571  5 Co 2.92-3.17
Th 0.0000 0.8576 0.7500  5 Co 2.87-3.14, 2 Sn 3.21
Th 0.0000 0.7734 0.0429  5 Co 2.92-3.17
Th 0.0000 0.7734 0.4571  5 Co 2.92-3.17
Th 0.0000 0.1424 0.2500  5 Co 2.87-3.14, 2 Sn 3.21
Th 0.0000 0.2266 0.5429  5 Co 2.92-3.17
Sn 0.5000 0.5678 0.8701  3 Co 2.69-2.74
Sn 0.5000 0.1962 0.7500  4 Co 2.68-2.86
Sn 0.5000 0.8038 0.2500  4 Co 2.68-2.86
Sn 0.5000 0.4322 0.1299  3 Co 2.69-2.74
Sn 0.5000 0.5678 0.6299  3 Co 2.69-2.74
Sn 0.5000 0.4322 0.3701  3 Co 2.69-2.74

Compound: Ce8GeRh2
Source: Alexandria
Functional: PBE
Structure: relaxed

Calculated density ... 8.43 g cm⁻³
DFT formation energy ... -0.349 eV/atom

abc: 5.0385 8.3552 7.9806
angles: 58.43 81.87 74.33
Last column: nearest neighbours and their distance in Å.
Positions (direct):
Ce 0.0733 0.9248 0.7965  2 Ce 2.77-2.85, 2 Rh 3.10
Ce 0.5000 0.7592 0.4817  2 Rh 2.66
Ce 0.6799 0.6021 0.0000  1 Ce 2.81, 2 Rh 3.11
Ce 0.9267 0.0752 0.2035  2 Ce 2.77-2.85, 2 Rh 3.10
Ce 0.9267 0.2788 0.7965  2 Ce 2.77-2.85, 2 Rh 3.10
Ce 0.5000 0.2408 0.5183  2 Rh 2.66
Ce 0.3201 0.3979 0.0000  1 Ce 2.81, 2 Rh 3.11
Ce 0.0733 0.7212 0.2035  2 Ce 2.77-2.85, 2 Rh 3.10
Rh 0.0000 0.3043 0.3915  2 Ce 2.66
Rh 0.0000 0.6957 0.6085  2 Ce 2.66
Ge 0.5000 0.0000 0.0000  12 Ce 3.18-3.28

Compound: NdHo2Cu9
Source: Alexandria
Functional: PBE
Structure: relaxed

Calculated density ... 8.94 g cm⁻³
DFT formation energy ... -0.193 eV/atom

abc: 5.2159 5.2159 8.7793
angles: 72.72 72.72 60.00
Last column: nearest neighbours and their distance in Å.
Positions (direct):
Cu 0.9165 0.4175 0.2485  7 Cu 2.52-2.61
Cu 0.5825 0.0835 0.7515  7 Cu 2.52-2.61
Cu 0.0835 0.5825 0.7515  7 Cu 2.52-2.61
Cu 0.5000 0.5000 0.5000  6 Cu 2.56
Cu 0.3322 0.3322 0.0033  6 Cu 2.52-2.56
Cu 0.6678 0.6678 0.9967  6 Cu 2.52-2.56
Cu 0.4175 0.4175 0.2485  7 Cu 2.52-2.61
Cu 0.5825 0.5825 0.7515  7 Cu 2.52-2.61
Cu 0.4175 0.9165 0.2485  7 Cu 2.52-2.61
Nd 0.0000 0.0000 0.0000  18 Cu 3.01-3.32
Ho 0.1435 0.1435 0.5696  12 Cu 3.01-3.07, 3 Ho 3.22
Ho 0.8565 0.8565 0.4304  12 Cu 3.01-3.07, 3 Ho 3.22

Compound: Tb2CeNdSe4
Source: Alexandria
Functional: PBE
Structure: relaxed

Formation energy (no corrections) ... -1.8092 eV/atom
Calculated density ... 7.51 g cm⁻³

abc: 4.1166 7.2739 7.1696
angles: 71.04 90.00 90.00
Last column: nearest neighbours and their distance in Å.
Positions (direct):
Se 0.5000 0.7613 0.2450  3 Tb 2.89-2.90, 1 Ce 2.98, 2 Nd 2.99
Se 0.0000 0.2393 0.2526  3 Tb 2.89-2.90, 2 Ce 2.98, 1 Nd 2.99
Se 0.0000 0.7607 0.7474  3 Tb 2.89-2.90, 2 Ce 2.98, 1 Nd 2.99
Se 0.5000 0.2387 0.7550  3 Tb 2.89-2.90, 1 Ce 2.98, 2 Nd 2.99
Nd 0.0000 0.5000 0.5000  6 Se 2.99
Tb 0.5000 0.0000 0.5000  6 Se 2.90
Tb 0.0000 0.0000 0.0000  6 Se 2.89
Ce 0.5000 0.5000 0.0000  6 Se 2.98

Compound: LiAc2HgRh
Source: Alexandria
Functional: PBE
Structure: relaxed

Calculated density ... 8.96 g cm⁻³
DFT formation energy ... -0.484 eV/atom

abc: 4.4085 8.0700 8.3841
angles: 108.26 90.00 90.00
Last column: nearest neighbours and their distance in Å.
Positions (direct):
Ac 0.7500 0.8891 0.6576  2 Rh 3.00
Ac 0.7500 0.7265 0.0407  3 Rh 2.96-3.04
Ac 0.2500 0.2735 0.9593  3 Rh 2.96-3.04
Ac 0.2500 0.1109 0.3424  2 Rh 3.00
Hg 0.2500 0.6570 0.3379  3 Li 2.83-3.03
Hg 0.7500 0.3430 0.6621  3 Li 2.83-3.03
Rh 0.2500 0.8822 0.8989  1 Li 2.73, 5 Ac 2.96-3.04
Rh 0.7500 0.1178 0.1011  1 Li 2.73, 5 Ac 2.96-3.04
Li 0.7500 0.4380 0.3395  1 Rh 2.73, 3 Hg 2.83-3.03
Li 0.2500 0.5620 0.6605  1 Rh 2.73, 3 Hg 2.83-3.03

Compound: TaTlSb
Source: Alexandria
Functional: PBE
Structure: relaxed

Formation energy (no corrections) ... 0.7207 eV/atom
Excess energy over the best structure of this formula in the dataset ... 1.138 eV/f.u.
Calculated density ... 10.65 g cm⁻³

abc: 4.8179 4.8179 4.8179
angles: 60.00 60.00 60.00
Last column: nearest neighbours and their distance in Å.
Positions (direct):
Ta 0.7500 0.7500 0.7500  4 Tl 2.95, 4 Sb 2.95
Sb 0.5000 0.5000 0.5000  4 Ta 2.95
Tl 0.0000 0.0000 0.0000  4 Ta 2.95

Compound: Li2CrCd
Source: Alexandria
Functional: PBE
Structure: relaxed

Calculated density ... 3.87 g cm⁻³
DFT formation energy ... 0.384 eV/atom

abc: 7.3737 7.3737 5.9256
angles: 51.52 51.52 90.00
Last column: nearest neighbours and their distance in Å.
Positions (direct):
Li 0.1207 0.6250 0.2500  2 Cd 2.68, 2 Cr 2.72, 2 Li 2.82
Li 0.3750 0.3707 0.7500  2 Cd 2.68, 2 Cr 2.72, 2 Li 2.82
Li 0.8750 0.8793 0.7500  2 Cd 2.68, 2 Cr 2.72, 2 Li 2.82
Li 0.6293 0.1250 0.2500  2 Cd 2.68, 2 Cr 2.72, 2 Li 2.82
Cd 0.0000 0.0000 0.0000  4 Li 2.68, 2 Cr 2.82
Cd 0.7500 0.2500 0.5000  4 Li 2.68, 2 Cr 2.82
Cr 0.2500 0.7500 0.5000  4 Li 2.72, 2 Cd 2.82
Cr 0.5000 0.5000 0.0000  4 Li 2.72, 2 Cd 2.82

Compound: K3Ag
Source: Alexandria
Functional: PBE
Structure: relaxed

Excess energy over the best structure of this formula in the dataset ... 0.617 eV/f.u.
Calculated density ... 1.91 g cm⁻³
DFT formation energy ... 0.182 eV/atom

abc: 7.2347 7.2347 7.2347
angles: 115.79 115.79 115.79
Last column: nearest neighbours and their distance in Å.
Positions (direct):
K 0.5000 0.0000 0.5000  2 Ag 3.85, 4 K 3.85
K 0.0000 0.5000 0.5000  4 K 3.85, 2 Ag 3.85
K 0.5000 0.5000 0.0000  4 K 3.85, 2 Ag 3.85
Ag 0.0000 0.0000 0.0000  6 K 3.85

Compound: La6Pm2Pr5
Source: Alexandria
Functional: PBE
Structure: relaxed

Calculated density ... 6.35 g cm⁻³
DFT formation energy ... 0.086 eV/atom

abc: 3.7121 12.0496 21.3787
angles: 90.00 90.00 90.00
Last column: nearest neighbours and their distance in Å.
Positions (direct):
La 0.5000 0.3224 0.1347  2 Pr 3.42-3.59, 4 La 3.62-3.71, 2 Pm 3.75
La 0.0000 0.5627 0.4217  6 Pr 3.65-3.79, 5 La 3.67-3.83, 1 Pm 4.02
La 0.0000 0.9199 0.6333  1 Pm 3.47, 6 Pr 3.54-3.65, 4 La 3.62-3.71
La 0.0000 0.0627 0.0783  6 Pr 3.65-3.79, 5 La 3.67-3.83, 1 Pm 4.02
La 0.5000 0.6776 0.8653  2 Pr 3.42-3.59, 4 La 3.62-3.71, 2 Pm 3.75
La 0.5000 0.1776 0.6347  2 Pr 3.42-3.59, 4 La 3.62-3.71, 2 Pm 3.75
La 0.0000 0.4373 0.5783  6 Pr 3.65-3.79, 5 La 3.67-3.83, 1 Pm 4.02
La 0.0000 0.4199 0.8667  1 Pm 3.47, 6 Pr 3.54-3.65, 4 La 3.62-3.71
La 0.0000 0.5801 0.1333  1 Pm 3.47, 6 Pr 3.54-3.65, 4 La 3.62-3.71
La 0.0000 0.9373 0.9217  6 Pr 3.65-3.79, 5 La 3.67-3.83, 1 Pm 4.02
La 0.0000 0.0801 0.3667  1 Pm 3.47, 6 Pr 3.54-3.65, 4 La 3.62-3.71
La 0.5000 0.8224 0.3653  2 Pr 3.42-3.59, 4 La 3.62-3.71, 2 Pm 3.75
Pm 0.0000 0.1694 0.7868  3 La 3.47-3.75, 6 Pr 3.62-3.85, 2 Pm 3.71
Pm 0.0000 0.3306 0.2868  3 La 3.47-3.75, 6 Pr 3.62-3.85, 2 Pm 3.71
Pm 0.0000 0.6694 0.7132  3 La 3.47-3.75, 6 Pr 3.62-3.85, 2 Pm 3.71
Pm 0.0000 0.8306 0.2132  3 La 3.47-3.75, 6 Pr 3.62-3.85, 2 Pm 3.71
Pr 0.5000 0.6977 0.5560  6 La 3.65-3.79, 3 Pr 3.71-3.83, 2 Pm 3.85
Pr 0.5000 0.0000 0.5000  6 La 3.54-3.59, 4 Pr 3.71-3.83
Pr 0.5000 0.4119 0.7247  5 La 3.42-3.65, 4 Pm 3.62-3.71, 2 Pr 3.71
Pr 0.5000 0.9119 0.7753  5 La 3.42-3.65, 4 Pm 3.62-3.71, 2 Pr 3.71
Pr 0.5000 0.0881 0.2247  5 La 3.42-3.65, 4 Pm 3.62-3.71, 2 Pr 3.71
Pr 0.5000 0.8023 0.0560  6 La 3.65-3.79, 3 Pr 3.71-3.83, 2 Pm 3.85
Pr 0.5000 0.1977 0.9440  6 La 3.65-3.79, 3 Pr 3.71-3.83, 2 Pm 3.85
Pr 0.5000 0.5000 0.0000  6 La 3.54-3.59, 4 Pr 3.71-3.83
Pr 0.5000 0.3023 0.4440  6 La 3.65-3.79, 3 Pr 3.71-3.83, 2 Pm 3.85
Pr 0.5000 0.5881 0.2753  5 La 3.42-3.65, 4 Pm 3.62-3.71, 2 Pr 3.71

Compound: CaLaC
Source: Alexandria
Functional: PBE
Structure: relaxed

Calculated density ... 3.36 g cm⁻³
DFT formation energy ... -0.100 eV/atom

abc: 3.8391 4.1993 13.2382
angles: 95.35 90.00 117.20
Last column: nearest neighbours and their distance in Å.
Positions (direct):
C 0.5823 0.1647 0.0268  1 C 1.35
C 0.4177 0.8353 0.9732  1 C 1.35
Ca 0.3699 0.7398 0.6218  9 Ca 3.84-4.20, 3 La 4.15-4.24
Ca 0.6301 0.2602 0.3782  9 Ca 3.84-4.20, 3 La 4.15-4.24
La 0.1158 0.2315 0.8862  3 C 2.42-2.70
La 0.8842 0.7685 0.1138  3 C 2.42-2.70

no.,total DFT energy (no corrections) (eV/atom)
1,-4.281
2,-3.212
3,-6.657
4,-6.421
5,-4.426
6,-6.047
7,-4.041
8,-5.393
9,-3.207
10,-1.354
11,-4.757
12,-5.485